w:
This record from the Alexandria database describes a crystal of Li2AsSe relaxed with PBEsol. The functional is SCAN.

Summary:
As for the crystal system: tetragonal. The density of states at the Fermi level is 0.540 states/eV/atom.

a b c (Å): 7.1964 7.1964 5.3595
angles (deg): 90.00 90.00 90.00
Last column: nearest neighbours and their distance in Å.
Space group I-42d (No. 122)
Asymmetric unit:
Li: 0.2273 0.7500 0.1250 x8  2 Se 2.52, 2 Li 2.70, 2 As 2.75
As: 0.0000 0.0000 0.5000 x4  2 Se 2.68, 4 Li 2.75
Se: 0.0000 0.0000 0.0000 x4  4 Li 2.52, 2 As 2.68

***

x:
This record from the Alexandria database describes a crystal of Li2AsSe relaxed with PBEsol. The functional is SCAN.

Summary:
As for the crystal system: tetragonal. The density of states at the Fermi level is 0.296 states/eV/atom.

a b c (Å): 4.1007 4.1007 7.8125
angles (deg): 90.00 90.00 90.00
Last column: nearest neighbours and their distance in Å.
Space group I4/mmm (No. 139)
Asymmetric unit:
Li: 0.0000 0.5000 0.2500 x4  4 As 2.83, 4 Se 2.83, 4 Li 2.90
As: 0.0000 0.0000 0.0000 x2  8 Li 2.83, 4 Se 2.90
Se: 0.0000 0.0000 0.5000 x2  8 Li 2.83, 4 As 2.90

***

x is preferred energetically. Next in line: 112 meV/atom higher.

***

w:
This record from the Alexandria database describes a crystal of Li2SnAs2 relaxed with PBEsol. The functional is SCAN.

Summary:
As for the crystal system: tetragonal. The density of states at the Fermi level is 0.167 states/eV/atom.

a b c (Å): 4.2557 4.2557 10.4722
angles (deg): 90.00 90.00 90.00
Last column: nearest neighbours and their distance in Å.
Space group I4/mmm (No. 139)
Asymmetric unit:
Li: 0.0000 0.5000 0.2500 x4  4 As 2.56
Sn: 0.0000 0.0000 0.0000 x2  8 As 3.24, 8 Li 3.37
As: 0.0000 0.0000 0.3851 x4  1 As 2.41, 4 Li 2.56

***

x:
This record from the Alexandria database describes a crystal of Li2SnAs2 relaxed with PBEsol. The functional is SCAN.

Summary:
As for the crystal system: tetragonal. The density of states at the Fermi level is 0.207 states/eV/atom.

a b c (Å): 7.9735 7.9735 2.8485
angles (deg): 90.00 90.00 90.00
Last column: nearest neighbours and their distance in Å.
Space group P4/mbm (No. 127)
Asymmetric unit:
Li: 0.1205 0.3795 0.0000 x4  6 As 2.70-2.80, 3 Li 2.72-2.85
Sn: 0.0000 0.0000 0.5000 x2  2 Sn 2.85, 4 As 2.94
As: 0.1761 0.6761 0.5000 x4  6 Li 2.70-2.80, 2 As 2.85, 2 Sn 2.94

***

x is preferred energetically. Next in line: 79 meV/atom higher.

***

w:
This record from the Alexandria database describes a crystal of Mg3As2 relaxed with PBEsol. The functional is SCAN.

Summary:
As for the crystal system: trigonal. The density of states at the Fermi level is 0.000 states/eV/atom.

a b c (Å): 4.2631 4.2631 6.6908
angles (deg): 90.00 90.00 120.00
Last column: nearest neighbours and their distance in Å.
Space group P-3m1 (No. 164)
Asymmetric unit:
Mg: 0.0000 0.0000 0.0000 x1  6 As 2.90
Mg: 0.3333 0.6667 0.3583 x2  4 As 2.61-2.76
As: 0.3333 0.6667 0.7711 x2  7 Mg 2.61-2.90

***

x:
This record from the Alexandria database describes a crystal of Mg3As2 relaxed with PBEsol. The functional is SCAN.

Summary:
As for the crystal system: cubic. The density of states at the Fermi level is 0.000 states/eV/atom.

a b c (Å): 12.3623 12.3623 12.3623
angles (deg): 90.00 90.00 90.00
Last column: nearest neighbours and their distance in Å.
Space group Ia-3 (No. 206)
Asymmetric unit:
Mg: 0.1046 0.1363 0.6293 x48  4 As 2.61-2.71
As: 0.0000 0.0000 0.0000 x8  6 Mg 2.66
As: 0.0000 0.2500 0.2727 x24  6 Mg 2.61-2.71

***

x is preferred energetically. Next in line: 32 meV/atom higher.

***

w:
This record from the Alexandria database describes a crystal of MgNbAs2Se relaxed with PBEsol. The functional is SCAN.

Summary:
As for the crystal system: tetragonal. The density of states at the Fermi level is 0.960 states/eV/atom.

a b c (Å): 4.7667 4.7667 4.8738
angles (deg): 90.00 90.00 90.00
Last column: nearest neighbours and their distance in Å.
Space group P4/mmm (No. 123)
Asymmetric unit:
Mg: 0.0000 0.0000 0.0000 x1  4 As 2.38, 2 Se 2.44
Nb: 0.5000 0.5000 0.5000 x1  4 Se 3.37, 8 As 3.41
As: 0.0000 0.5000 0.0000 x2  2 Mg 2.38
Se: 0.0000 0.0000 0.5000 x1  2 Mg 2.44

***

x:
This record from the Alexandria database describes a crystal of MgNbAs2Se relaxed with PBEsol. The functional is SCAN.

Summary:
As for the crystal system: tetragonal. The density of states at the Fermi level is 0.570 states/eV/atom.

a b c (Å): 4.9625 4.9625 5.0174
angles (deg): 90.00 90.00 90.00
Last column: nearest neighbours and their distance in Å.
Space group P4/mmm (No. 123)
Asymmetric unit:
Mg: 0.0000 0.0000 0.0000 x1  4 Se 3.51, 8 As 3.53
Nb: 0.5000 0.5000 0.5000 x1  4 As 2.48, 2 Se 2.51
As: 0.0000 0.5000 0.5000 x2  2 Nb 2.48
Se: 0.5000 0.5000 0.0000 x1  2 Nb 2.51

***

x is preferred energetically. Next in line: 675 meV/atom higher.